Entry 1:
VASP calculation (PBE) on an optimized crystal structure of SiTe2Se.

Results
As for the formation energy from raw total energies: 500 meV/atom. Its crystal system is cubic. Its total moment is 0.000 Bohr magnetons per cell.

```
SiTe2Se
1.0
0.0000 3.5926 3.5926
3.5926 0.0000 3.5926
3.5926 3.5926 0.0000
Si Te Se
1 2 1
Cartesian
0.0000 0.0000 0.0000 Si
1.7963 1.7963 1.7963 Te
5.3889 5.3889 5.3889 Te
3.5926 3.5926 3.5926 Se
```

Entry 2:
VASP calculation (PBE) on an optimized crystal structure of Th6Si2Te3Se.

Results
As for the formation energy from raw total energies: -1097 meV/atom. Its crystal system is monoclinic. Its total moment is 0.000 Bohr magnetons per cell.

```
Th6Si2Te3Se
1.0
-5.2318 3.8943 3.5655
2.7666 -6.1812 3.0642
6.0689 4.7620 1.1218
Th Si Te Se
6 2 3 1
Cartesian
1.5293 3.7310 5.9859 Th
-0.5040 -0.6523 5.0693 Th
2.0743 -1.2559 1.7656 Th
4.2665 0.2830 5.8143 Th
4.1076 3.1274 2.6822 Th
-0.6629 2.1921 1.9372 Th
0.1038 -2.8268 3.2311 Si
-2.5690 0.5400 3.3986 Si
4.4875 -2.1455 3.7074 Te
-0.8839 4.6207 4.0441 Te
1.8018 1.2376 3.8758 Te
0.0000 0.0000 0.0000 Se
```

Entry 3:
VASP calculation (PBE) on an optimized crystal structure of Th6Si3TeSe2.

Results
As for the formation energy from raw total energies: -1100 meV/atom. Its crystal system is monoclinic. Its total moment is 0.000 Bohr magnetons per cell.

```
Th6Si3TeSe2
1.0
4.2822 0.0000 0.0000
0.0000 8.6343 0.2668
-2.1411 -2.5284 9.0352
Th Si Te Se
6 3 1 2
Cartesian
0.0000 6.3576 6.1088 Th
2.1411 4.3121 3.0860 Th
2.1411 -0.2517 3.1933 Th
2.1411 -0.1554 9.0566 Th
0.0000 6.2613 0.2454 Th
0.0000 1.7938 6.2161 Th
2.1411 4.3172 0.1334 Si
2.1411 -0.2428 6.1088 Si
0.0000 6.3487 3.1933 Si
2.1411 0.0000 0.0000 Te
2.1411 4.0706 6.1776 Se
0.0000 2.0354 3.1244 Se
```

Entry 4:
VASP calculation (PBE) on an optimized crystal structure of Th8Si3Te4Se.

Results
As for the formation energy from raw total energies: -1068 meV/atom. Its crystal system is trigonal. Its total moment is 0.000 Bohr magnetons per cell.

```
Th8Si3Te4Se
1.0
8.6007 0.0000 0.0000
0.0000 8.8907 0.1998
-4.3003 -4.2965 6.0842
Th Si Te Se
8 3 4 1
Cartesian
-2.1038 2.1711 6.0596 Th
0.0000 4.2728 3.0832 Th
0.0000 0.3060 3.2555 Th
2.1038 2.1711 6.0596 Th
2.1966 2.4231 0.2244 Th
4.3003 4.2882 3.0285 Th
4.3003 0.3214 3.2008 Th
6.4041 2.4231 0.2244 Th
4.3003 4.4453 0.0999 Si
2.1502 2.2971 3.1420 Si
-2.1502 2.2971 3.1420 Si
4.3003 0.0000 0.0000 Te
2.1502 -2.1482 3.0421 Te
0.0000 0.0000 0.0000 Te
-2.1502 -2.1482 3.0421 Te
0.0000 4.4453 0.0999 Se
```

Entry 5:
VASP calculation (PBE) on an optimized crystal structure of Th8Si3TeSe4.

Results
As for the formation energy from raw total energies: -1213 meV/atom. Its crystal system is trigonal. Its total moment is 0.000 Bohr magnetons per cell.

```
Th8Si3TeSe4
1.0
8.5932 0.0000 0.0000
0.0000 8.5011 -0.0714
-4.2966 -4.2926 6.0796
Th Si Te Se
8 3 1 4
Cartesian
-2.0278 2.0988 5.9518 Th
0.0000 4.1246 3.0834 Th
0.0000 0.0737 3.0887 Th
2.0278 2.0988 5.9518 Th
2.2688 2.1097 0.0564 Th
4.2966 4.1348 2.9195 Th
4.2966 0.0839 2.9248 Th
6.3244 2.1097 0.0564 Th
4.2966 4.2505 -0.0357 Si
2.1483 2.1043 3.0041 Si
-2.1483 2.1043 3.0041 Si
0.0000 4.2505 -0.0357 Te
4.2966 0.0000 0.0000 Se
2.1483 -2.1463 3.0398 Se
0.0000 0.0000 0.0000 Se
-2.1483 -2.1463 3.0398 Se
```

Entry 6:
VASP calculation (PBE) on an optimized crystal structure of Th6SiTe3Se2.

Results
As for the formation energy from raw total energies: -1190 meV/atom. Its crystal system is monoclinic. Its total moment is 0.000 Bohr magnetons per cell.

```
Th6SiTe3Se2
1.0
-2.1877 -3.6894 0.1954
0.9123 -0.0759 8.7826
-7.0705 6.5874 -1.9577
Th Si Te Se
6 1 3 2
Cartesian
-4.7727 3.1829 6.6640 Th
-3.4024 -0.2466 4.4267 Th
-3.5733 -0.3608 0.3562 Th
0.1121 0.0381 1.9746 Th
-8.4580 2.7839 5.0456 Th
-4.9435 3.0686 2.5935 Th
-1.0938 -1.8447 0.0977 Si
-0.6377 -1.8827 4.4890 Te
-6.3732 1.2982 0.3323 Te
-1.9727 1.5239 6.6879 Te
-5.9302 1.2681 4.7266 Se
-2.4158 1.5539 2.2936 Se
```

Entry 7:
VASP calculation (PBE) on an optimized crystal structure of Th6Si2TeSe3.

Results
As for the formation energy from raw total energies: -1216 meV/atom. Its crystal system is monoclinic. Its total moment is 0.000 Bohr magnetons per cell.

```
Th6Si2TeSe3
1.0
-3.4221 -0.4686 -2.5477
-4.2429 -3.7489 6.3886
-0.4943 9.1224 2.6014
Th Si Te Se
6 2 1 3
Cartesian
-5.2551 2.4048 6.6164 Th
-4.9012 0.6347 2.8514 Th
-2.9043 2.5001 -0.1740 Th
-1.1721 -0.8904 1.7382 Th
-6.9872 5.7954 4.7042 Th
-3.2581 4.2702 3.5910 Th
-6.0066 3.1674 3.8704 Si
-2.1527 1.7376 2.5719 Si
-1.7110 -0.2343 -1.2738 Te
-3.8325 -2.1087 1.9205 Se
-3.9147 5.1651 0.6931 Se
-4.2447 -0.2602 5.7493 Se
```

Entry 8:
VASP calculation (PBE) on an optimized crystal structure of Tm4SiTe2Se.

Results
As for the formation energy from raw total energies: -1304 meV/atom. Its crystal system is monoclinic. Its total moment is 0.000 Bohr magnetons per cell.

```
Tm4SiTe2Se
1.0
-1.5370 3.7640 0.8225
-4.1848 -0.4394 -5.8093
-3.6383 -2.7535 5.8017
Tm Si Te Se
4 1 2 1
Cartesian
-2.6076 1.1741 0.2140 Tm
-6.7526 -0.6031 0.6009 Tm
-3.9895 -2.2796 2.9763 Tm
-3.8336 -0.9134 -2.9840 Tm
-2.8609 1.6623 -2.4934 Si
-2.5877 0.5052 3.3121 Te
-3.9116 -1.5965 -0.0038 Te
0.0000 0.0000 0.0000 Se
```

Entry 9:
VASP calculation (PBE) on an optimized crystal structure of Tm8SiTe3Se3.

Results
As for the formation energy from raw total energies: -1243 meV/atom. Its crystal system is trigonal. Its total moment is 0.000 Bohr magnetons per cell.

```
Tm8SiTe3Se3
1.0
-7.9693 1.0990 -1.5054
3.2603 -7.4916 -0.4807
-0.9242 3.5864 7.5109
Tm Si Te Se
8 1 3 3
Cartesian
-0.6431 -2.6111 1.4979 Tm
-4.9902 -0.1950 4.0268 Tm
-4.6261 -2.1023 0.7069 Tm
-1.0072 -0.7038 4.8178 Tm
-6.2882 1.7167 0.9520 Tm
0.6549 -4.5228 4.5727 Tm
-2.2255 1.1564 1.7195 Tm
-3.4078 -3.9625 3.8052 Tm
-0.4621 1.7932 3.7554 Si
0.0000 0.0000 0.0000 Te
1.6301 -3.7458 -0.2404 Te
-2.3545 -3.1963 -0.9931 Te
-4.4468 2.3427 3.0027 Se
-2.8166 -1.4031 2.7624 Se
1.1680 -1.9526 3.5151 Se
```

Entry 10:
VASP calculation (PBE) on an optimized crystal structure of Tm8Si3Te4Se.

Results
As for the formation energy from raw total energies: -1200 meV/atom. Its crystal system is trigonal. Its total moment is 0.000 Bohr magnetons per cell.

```
Tm8Si3Te4Se
1.0
-0.6398 -1.2353 -8.2066
2.1632 -8.1204 1.0537
-6.4448 3.1016 4.2568
Tm Si Te Se
8 3 4 1
Cartesian
-4.8761 -3.1088 2.8943 Tm
-1.7523 -4.6123 0.8309 Tm
-2.9186 -1.0002 0.3781 Tm
-5.1863 -3.7076 -1.0838 Tm
0.2649 -2.5465 -1.8124 Tm
-2.0028 -5.2539 -3.2742 Tm
-3.1690 -1.6418 -3.7270 Tm
-0.0452 -3.1453 -5.7904 Tm
0.7617 -4.6778 -3.5765 Si
-2.4607 -3.1271 -1.4481 Si
-2.1408 -2.5094 2.6552 Si
-0.3199 -0.6177 -4.1033 Te
-3.5423 0.9331 -1.9749 Te
0.0000 0.0000 0.0000 Te
-3.2224 1.5508 2.1284 Te
1.0816 -4.0602 0.5268 Se
```

Entry 11:
VASP calculation (PBE) on an optimized crystal structure of Tm6SiTe2Se3.

Results
As for the formation energy from raw total energies: -1414 meV/atom. Its crystal system is monoclinic. Its total moment is 0.000 Bohr magnetons per cell.

```
Tm6SiTe2Se3
1.0
7.2208 0.0033 0.0040
-3.6058 6.2561 0.0040
-1.2021 -2.0815 6.6460
Tm Si Te Se
6 1 2 3
Cartesian
3.5018 2.2986 4.9476 Tm
2.5311 4.3825 1.7533 Tm
-1.0889 1.8793 1.7065 Tm
0.2409 4.1818 4.9476 Tm
-0.1182 -0.2047 4.9008 Tm
2.1720 -0.0040 1.7065 Tm
0.0000 0.0000 0.0000 Si
0.0260 4.1585 0.0040 Te
3.5890 2.1008 0.0040 Te
-2.2783 4.1015 3.3270 Se
4.6912 0.0764 3.3270 Se
1.2064 2.0889 3.3270 Se
```

Entry 12:
VASP calculation (PBE) on an optimized crystal structure of Tm8SiTe4Se3.

Results
As for the formation energy from raw total energies: -1383 meV/atom. Its crystal system is trigonal. Its total moment is 0.000 Bohr magnetons per cell.

```
Tm8SiTe4Se3
1.0
-3.6245 5.3117 5.1958
4.8144 -2.8794 6.3020
3.6012 2.7779 -6.9049
Tm Si Te Se
8 1 4 3
Cartesian
6.1273 1.9062 -1.0675 Tm
4.2683 0.4721 2.4949 Tm
2.3038 2.0219 -0.4599 Tm
4.2575 4.6464 1.6129 Tm
0.5336 0.5637 2.9800 Tm
2.4873 3.1883 5.0529 Tm
0.5228 4.7381 2.0981 Tm
-1.3362 3.3040 5.6605 Tm
2.4072 -1.4397 3.1510 Si
-1.8122 2.6558 2.5979 Te
-0.0116 4.0448 -0.8545 Te
0.0000 0.0000 0.0000 Te
1.8006 1.3890 -3.4524 Te
0.5949 1.2161 5.7489 Se
2.3956 2.6051 2.2965 Se
4.2078 -0.0508 -0.3014 Se
```

Entry 13:
VASP calculation (PBE) on an optimized crystal structure of Si2TeWSe.

Results
As for the formation energy from raw total energies: 600 meV/atom. Its crystal system is tetragonal. Its total moment is 0.000 Bohr magnetons per cell.

```
Si2TeWSe
1.0
4.9817 0.0000 0.0000
0.0000 4.7312 0.0000
0.0000 0.0000 4.9817
Si Te Se W
2 1 1 1
Cartesian
0.0000 0.0000 2.4909 Si
2.4909 0.0000 0.0000 Si
2.4909 2.3656 2.4909 Te
0.0000 2.3656 0.0000 Se
0.0000 0.0000 0.0000 W
```

Entry 14:
VASP calculation (PBE) on an optimized crystal structure of Y8Si3Te4Se.

Results
As for the formation energy from raw total energies: -1281 meV/atom. Its crystal system is trigonal. Its total moment is 0.000 Bohr magnetons per cell.

```
Y8Si3Te4Se
1.0
8.4391 0.0000 0.0000
0.0000 8.5895 0.0997
-4.2196 -4.2154 5.9713
Y Si Te Se
8 3 4 1
Cartesian
-2.0510 2.0677 5.8917 Y
0.0000 4.1166 2.9926 Y
0.0000 0.2164 3.1359 Y
2.0510 2.0677 5.8917 Y
2.1686 2.3064 0.1793 Y
4.2196 4.1577 2.9351 Y
4.2196 0.2575 3.0784 Y
6.2706 2.3064 0.1793 Y
4.2196 4.2947 0.0498 Si
2.1098 2.1870 3.0355 Si
-2.1098 2.1870 3.0355 Si
4.2196 0.0000 0.0000 Te
2.1098 -2.1077 2.9857 Te
0.0000 0.0000 0.0000 Te
-2.1098 -2.1077 2.9857 Te
0.0000 4.2947 0.0498 Se
```

Entry 15:
VASP calculation (PBE) on an optimized crystal structure of Y6Si2Te3Se.

Results
As for the formation energy from raw total energies: -1315 meV/atom. Its crystal system is monoclinic. Its total moment is 0.000 Bohr magnetons per cell.

```
Y6Si2Te3Se
1.0
-3.9715 1.1658 -0.7639
0.2145 -4.1907 -7.5104
-1.0553 -6.9002 6.5517
Y Si Te Se
6 2 3 1
Cartesian
-1.8466 -7.9672 -2.5584 Y
-2.9218 -3.9812 -2.4808 Y
-2.9658 -1.9579 0.8359 Y
-0.0210 -1.1692 -1.6750 Y
-4.7913 -8.7559 -0.0476 Y
-1.8906 -5.9439 0.7583 Y
-3.8679 -6.4214 -1.2855 Si
-0.9444 -3.5038 -0.4371 Si
-1.8785 -1.5125 -4.1372 Te
-4.0003 -4.3701 2.5332 Te
-0.8120 -5.5550 -4.2558 Te
-1.9857 0.5829 -0.3819 Se
```

Entry 16:
VASP calculation (PBE) on an optimized crystal structure of Y8SiTe4Se3.

Results
As for the formation energy from raw total energies: -1490 meV/atom. Its crystal system is trigonal. Its total moment is 0.000 Bohr magnetons per cell.

```
Y8SiTe4Se3
1.0
8.3928 0.0000 0.0000
0.0000 8.5729 0.1208
-4.1964 -4.1931 5.9374
Y Si Te Se
8 1 4 3
Cartesian
-2.1615 2.0183 5.9184 Y
0.0000 4.1777 2.8540 Y
0.0000 0.2351 3.1314 Y
2.1615 2.0183 5.9184 Y
2.0349 2.3615 0.1398 Y
4.1964 4.1448 2.9268 Y
4.1964 0.2022 3.2042 Y
6.3579 2.3615 0.1398 Y
0.0000 4.2865 0.0604 Si
4.1964 0.0000 0.0000 Te
2.0982 -2.0965 2.9687 Te
0.0000 0.0000 0.0000 Te
-2.0982 -2.0965 2.9687 Te
4.1964 4.2865 0.0604 Se
2.0982 2.1899 3.0291 Se
-2.0982 2.1899 3.0291 Se
```

Entry 17:
VASP calculation (PBE) on an optimized crystal structure of Y6SiTe3Se2.

Results
As for the formation energy from raw total energies: -1467 meV/atom. Its crystal system is monoclinic. Its total moment is 0.000 Bohr magnetons per cell.

```
Y6SiTe3Se2
1.0
7.2722 0.0019 0.0026
-3.6327 6.2999 0.0026
-1.2114 -2.0975 7.0803
Y Si Te Se
6 1 3 2
Cartesian
3.5950 2.1835 5.5518 Y
2.4747 4.2848 1.5519 Y
-1.1669 2.0208 1.5337 Y
0.0946 4.2051 5.5518 Y
-0.0465 -0.0806 5.5336 Y
2.3335 -0.0008 1.5337 Y
0.0000 0.0000 0.0000 Si
-2.3805 4.1782 3.5427 Te
4.8087 0.0261 3.5427 Te
1.2141 2.1021 3.5427 Te
0.0101 4.1960 0.0026 Se
3.6294 2.1058 0.0026 Se
```

Entry 18:
VASP calculation (PBE) on an optimized crystal structure of Y4SiTeSe2.

Results
As for the formation energy from raw total energies: -1472 meV/atom. Its crystal system is monoclinic. Its total moment is 0.000 Bohr magnetons per cell.

```
Y4SiTeSe2
1.0
-3.9098 -0.2159 1.4052
1.4869 -6.2662 3.1748
2.3898 1.2459 6.8411
Y Si Te Se
4 1 1 2
Cartesian
2.8511 -3.8312 7.3448 Y
-2.8842 -1.4050 4.0762 Y
-0.2042 -4.4155 4.9123 Y
0.1711 -0.8207 6.5087 Y
1.9383 -2.5101 5.0079 Si
1.1783 -1.9951 9.1310 Te
2.3898 1.2459 6.8411 Se
-0.7600 0.5150 4.1231 Se
```

Entry 19:
VASP calculation (PBE) on an optimized crystal structure of Th3SiSe3.

Results
As for the formation energy from raw total energies: -1320 meV/atom. Its crystal system is orthorhombic. Its total moment is 0.000 Bohr magnetons per cell.

```
Th3SiSe3
1.0
7.8264 1.0568 2.9401
2.4524 7.5070 2.9401
1.3371 1.1140 8.3161
Th Si Se
6 2 6
Cartesian
11.2318 9.3578 12.1306 Th
6.6852 8.3013 6.3966 Th
9.3718 5.0766 6.3966 Th
4.9308 1.3766 7.7997 Th
2.2442 4.6012 7.7997 Th
0.3842 0.3201 2.0657 Th
3.9218 3.2674 9.7824 Si
7.6942 6.4104 4.4139 Si
3.2510 2.7086 5.6242 Se
4.4641 6.4520 7.0981 Se
7.1519 3.2259 7.0981 Se
3.7951 5.8955 2.9401 Se
6.4838 2.6683 2.9401 Se
8.3650 6.9693 8.5720 Se
```

Entry 20:
VASP calculation (PBE) on an optimized crystal structure of Th4SiSe5.

Results
As for the formation energy from raw total energies: -1473 meV/atom. Its crystal system is monoclinic. Its total moment is 0.000 Bohr magnetons per cell.

```
Th4SiSe5
1.0
-2.3713 3.0277 1.8095
2.6800 -2.4379 7.5916
7.2409 4.8609 -3.6360
Th Si Se
4 1 5
Cartesian
6.4452 2.0700 4.9828 Th
6.8849 6.0470 3.8961 Th
1.1044 3.3807 0.7822 Th
0.6648 -0.5963 1.8689 Th
-1.1857 1.5139 0.9047 Si
4.6426 4.1631 4.1099 Se
3.2361 5.3872 0.2184 Se
4.3135 0.0636 5.5466 Se
0.1544 0.2949 4.7005 Se
2.9070 1.2876 1.6551 Se
```